SrSn after structural relaxation. Source: Alexandria via LeMat-Bulk, functional PBE.

E	-25.533	eV for the cell shown
DOS at the Fermi energy	1.027	states/eV per atom
formation energy	-0.349	eV per atom

abc: 6.748 6.748 6.698
angles: 90.00 90.00 90.00
Positions (direct):
Sr1 0.688 0.688 0.500
Sr2 0.188 0.812 0.000
Sr3 0.812 0.188 0.000
Sr4 0.312 0.312 0.500
Sn1 0.348 0.348 0.000
Sn2 0.152 0.848 0.500
Sn3 0.652 0.652 0.000
Sn4 0.848 0.152 0.500